one) A relaxed InIr2Pb crystal. Source: Alexandria, functional PBE.

The space group is F-43m (No. 216) and the conventional cell measures 6.7265, 6.7265 and 6.7265 Å, with angles of 90.00, 90.00 and 90.00 degrees. The distinct sites, in fractional coordinates, are In at (0.0000, 0.0000, 0.0000), Ir at (0.0000, 0.0000, 0.5000), Ir at (0.2500, 0.2500, 0.2500) and Pb at (0.2500, 0.2500, 0.7500).

The density is 15.42 g/cm3. The value obtained for the density of states at the Fermi level is 5.190 states/eV/f.u. The crystal system is cubic.

=====

two) A relaxed InIr2Pb crystal. Source: Alexandria, functional PBE.

The space group is C2/m (No. 12) and the conventional cell measures 6.2547, 7.4567 and 3.1453 Å, with angles of 90.00, 90.26 and 90.00 degrees. The distinct sites, in fractional coordinates, are In at (0.0000, 0.0000, 0.0000), Ir at (0.2500, 0.2500, 0.5000) and Pb at (0.0000, 0.5000, 0.0000).

The density is 15.99 g/cm3. The value obtained for the density of states at the Fermi level is 1.170 states/eV/f.u. The crystal system is monoclinic.

=====

three) A relaxed InIr2Pb crystal. Source: Alexandria, functional PBE.

The space group is Pmm2 (No. 25) and the conventional cell measures 3.1178, 4.2772 and 5.6994 Å, with angles of 90.00, 90.00 and 90.00 degrees. The distinct sites, in fractional coordinates, are In at (0.0000, 0.0000, 0.0000), Ir at (0.0000, 0.0000, 0.4816), Ir at (0.5000, 0.5000, 0.1456) and Pb at (0.5000, 0.5000, 0.6467).

The density is 15.43 g/cm3. The value obtained for the density of states at the Fermi level is 1.931 states/eV/f.u. The crystal system is orthorhombic.

=====

four) A relaxed InIr2Pb crystal. Source: Alexandria, functional PBE.

The space group is I4/mmm (No. 139) and the conventional cell measures 4.4316, 4.4316 and 7.4608 Å, with angles of 90.00, 90.00 and 90.00 degrees. The distinct sites, in fractional coordinates, are In at (0.0000, 0.0000, 0.0000), Ir at (0.0000, 0.5000, 0.2500) and Pb at (0.0000, 0.0000, 0.5000).

The density is 16.01 g/cm3. The value obtained for the density of states at the Fermi level is 1.457 states/eV/f.u. The crystal system is tetragonal.

=====

It is four) that is the most stable of them.

=====

one) A relaxed InIr2Pb crystal. Source: Alexandria, functional PBE.

The space group is Cm (No. 8) and the conventional cell measures 10.1195, 3.1875 and 4.7886 Å, with angles of 90.00, 105.97 and 90.00 degrees. The distinct sites, in fractional coordinates, are In at (0.0000, 0.0000, 0.0000), Ir at (0.0096, 0.5000, 0.5062), Ir at (0.2599, 0.0000, 0.9004) and Pb at (0.2662, 0.5000, 0.3971).

The density is 15.80 g/cm3. The value obtained for the density of states at the Fermi level is 2.030 states/eV/f.u. The crystal system is monoclinic.

=====

two) A relaxed InIr2Pb crystal. Source: Alexandria, functional PBE.

The space group is R-3m (No. 166, hexagonal axes) and the conventional cell measures 3.1565, 3.1565 and 26.1839 Å, with angles of 90.00, 90.00 and 120.00 degrees. The distinct sites, in fractional coordinates, are In at (0.0000, 0.0000, 0.0000), Ir at (0.0000, 0.0000, 0.2533) and Pb at (0.0000, 0.0000, 0.5000).

The density is 15.58 g/cm3. The value obtained for the density of states at the Fermi level is 1.670 states/eV/f.u. The crystal system is trigonal.

=====

three) A relaxed InIr2Pb crystal. Source: Alexandria, functional PBE.

The space group is P4mm (No. 99) and the conventional cell measures 3.0449, 3.0449 and 8.6546 Å, with angles of 90.00, 90.00 and 90.00 degrees. The distinct sites, in fractional coordinates, are In at (0.0000, 0.0000, 0.0000), Ir at (0.0000, 0.0000, 0.4139), Ir at (0.5000, 0.5000, 0.2193) and Pb at (0.5000, 0.5000, 0.6547).

The density is 14.62 g/cm3. The value obtained for the density of states at the Fermi level is 5.668 states/eV/f.u. The crystal system is tetragonal.

=====

It is one) that is the most stable of them.

=====

one) A relaxed InIr2Pb crystal. Source: Alexandria, functional PBE.

The space group is P4/mmm (No. 123) and the conventional cell measures 4.8236, 4.8236 and 3.1620 Å, with angles of 90.00, 90.00 and 90.00 degrees. The distinct sites, in fractional coordinates, are In at (0.0000, 0.0000, 0.0000), Ir at (0.0000, 0.5000, 0.5000) and Pb at (0.5000, 0.5000, 0.0000).

The density is 15.95 g/cm3. The value obtained for the density of states at the Fermi level is 3.250 states/eV/f.u. The crystal system is tetragonal.

=====

two) A relaxed InIr2Pb crystal. Source: Alexandria, functional PBE.

The space group is R3m (No. 160, hexagonal axes) and the conventional cell measures 3.0115, 3.0115 and 31.6101 Å, with angles of 90.00, 90.00 and 120.00 degrees. The distinct sites, in fractional coordinates, are In at (0.0000, 0.0000, 0.0000), Ir at (0.0000, 0.0000, 0.2588), Ir at (0.0000, 0.0000, 0.5281) and Pb at (0.0000, 0.0000, 0.7827).

The density is 14.18 g/cm3. The value obtained for the density of states at the Fermi level is 4.586 states/eV/f.u. The crystal system is trigonal.

=====

It is one) that is the most stable of them.